Density functional theory data (PBE) for ScTl2Cd after structural relaxation.

## Properties
Total moment (μB per cell): 0.24
Crystal system: tetragonal
Space-group type: No. 123
Formation enthalpy at 0 K (eV per atom): -0.018
Polymorph energy (0 for the lowest one) (eV per atom): 0.119

Cell: 3.690 3.690 7.280 Å, 90.00 90.00 90.00°
Sites, in units of the cell vectors:
Sc (0.000, 0.000, 0.000)
Tl (0.500, 0.500, 0.247)
Tl (0.500, 0.500, 0.753)
Cd (0.000, 0.000, 0.500)